Record 1
Below is a geometry-optimized CaYB2O6 structure, with properties calculated at the PBE level.

a = 6.4344 Å, b = 6.4344 Å, c = 6.8427 Å
α = 100.92°, β = 100.92°, γ = 105.00°
Closest atoms and distances in Å follow each position.
Element x y z (fractional)
Ca: 0.0829 0.9171 0.2500  6 O 2.38-2.40
Ca: 0.9171 0.0829 0.7500  6 O 2.38-2.40
Y: 0.5740 0.4260 0.2500  6 O 2.26-2.34
Y: 0.4260 0.5740 0.7500  6 O 2.26-2.34
B: 0.4205 0.0922 0.7564  3 O 1.37-1.39
B: 0.9078 0.5795 0.7436  3 O 1.37-1.39
B: 0.5795 0.9078 0.2436  3 O 1.37-1.39
B: 0.0922 0.4205 0.2564  3 O 1.37-1.39
O: 0.9387 0.5345 0.2543  1 B 1.37
O: 0.4655 0.0613 0.2457  1 B 1.37
O: 0.0613 0.4655 0.7457  1 B 1.37
O: 0.5345 0.9387 0.7543  1 B 1.37
O: 0.0557 0.2259 0.1140  1 B 1.37
O: 0.7741 0.9443 0.3860  1 B 1.37
O: 0.9443 0.7741 0.8860  1 B 1.37
O: 0.2259 0.0557 0.6140  1 B 1.37
O: 0.2958 0.5018 0.4008  1 B 1.39
O: 0.4982 0.7042 0.0992  1 B 1.39
O: 0.7042 0.4982 0.5992  1 B 1.39
O: 0.5018 0.2958 0.9008  1 B 1.39

Output
Its crystal system is monoclinic. Its space-group type is No. 15. The uncorrected formation energy comes out at -2732 meV/atom.

=====

Record 2
Below is a geometry-optimized Ca4YB3O10 structure, with properties calculated at the PBE level.

a = 9.0445 Å, b = 9.0445 Å, c = 3.5575 Å
α = 85.00°, β = 85.00°, γ = 126.54°
Closest atoms and distances in Å follow each position.
Element x y z (fractional)
Ca: 0.3277 0.5523 0.2774  6 O 2.32-2.38
Ca: 0.5523 0.3277 0.2774  6 O 2.32-2.38
Ca: 0.8790 0.2425 0.9490  6 O 2.34-2.61
Ca: 0.2425 0.8790 0.9490  6 O 2.34-2.61
Y: 0.8018 0.8018 0.5996  6 O 2.23-2.41
B: 0.1722 0.1722 0.9039  3 O 1.39
B: 0.9408 0.5516 0.5254  3 O 1.38-1.40
B: 0.5516 0.9408 0.5254  3 O 1.38-1.40
O: 0.0238 0.7405 0.5252  1 B 1.40
O: 0.7405 0.0238 0.5252  1 B 1.40
O: 0.6305 0.6305 0.1789  2 Y 2.23-2.25, 2 Ca 2.37
O: 0.1838 0.3327 0.8574  1 B 1.39
O: 0.3327 0.1838 0.8574  1 B 1.39
O: 0.9977 0.9977 0.9971  1 B 1.39
O: 0.0362 0.4973 0.3328  1 B 1.38
O: 0.4973 0.0362 0.3328  1 B 1.38
O: 0.7615 0.4148 0.7225  1 B 1.38
O: 0.4148 0.7615 0.7225  1 B 1.38

Output
Its crystal system is monoclinic. Its space-group type is No. 8. The uncorrected formation energy comes out at -2998 meV/atom.